Compound: Pm6Nd3Th2
Source: Alexandria
Functional: PBE
Structure: optimized geometry

## Properties
Its density of states at the Fermi level is 49.73 states/eV/cell. As for the total energy: -5.220 eV per atom. For the energy of formation, the calculation gives 0.02 eV/atom.

Lattice parameters (Å, degrees): 3.6425 3.6425 98.3408 90.00 90.00 120.00
Space group R-3m (No. 166, hexagonal axes)
One atom of each set of equivalent atoms:
Pm: 0.0000 0.0000 0.0924 [6 per cell]
Pm: 0.0000 0.0000 0.1827 [6 per cell]
Pm: 0.0000 0.0000 0.3640 [6 per cell]
Nd: 0.0000 0.0000 0.0000 [3 per cell]
Nd: 0.0000 0.0000 0.2724 [6 per cell]
Th: 0.0000 0.0000 0.4550 [6 per cell]


Compound: PmNdTh2
Source: Alexandria
Functional: PBE
Structure: optimized geometry

## Properties
Its density of states at the Fermi level is 28.91 states/eV/cell. As for the total energy: -5.589 eV per atom. For the energy of formation, the calculation gives 0.50 eV/atom.

Lattice parameters (Å, degrees): 6.8940 26.9119 3.5978 90.00 116.14 90.00
Space group C2/c (No. 15)
One atom of each set of equivalent atoms:
Pm: 0.0000 0.1526 0.2500 [4 per cell]
Nd: 0.2500 0.2500 0.0000 [4 per cell]
Th: 0.2445 0.4465 0.2132 [8 per cell]